[1]
## Dy4C2N (GGA-PBE)

Data for crystalline Dy4C2N at its relaxed geometry.

Lattice parameters (Å, degrees): 3.555 11.795 11.783 90.00 90.00 90.00
Space group Cmcm (No. 63)
Asymmetric unit:
Dy: 0.000 0.000 0.000 [4 per cell]
Dy: 0.000 0.273 0.117 [8 per cell]
Dy: 0.000 0.466 0.750 [4 per cell]
C: 0.000 0.362 0.567 [8 per cell]
N: 0.000 0.095 0.750 [4 per cell]

## Properties
The value obtained for the total energy is -6.963 eV per atom. The density of states at the Fermi level comes out at 0.39 states/eV per atom. As for the magnetization: 0.5 Bohr magnetons per cell.


[2]
## DyCN (GGA-PBE)

Data for crystalline DyCN at its relaxed geometry.

Lattice parameters (Å, degrees): 6.674 3.408 5.985 90.00 90.00 90.00
Space group Pnma (No. 62)
Asymmetric unit:
Dy: 0.191 0.250 0.157 [4 per cell]
C: 0.029 0.250 0.551 [4 per cell]
N: 0.066 0.250 0.784 [4 per cell]

## Properties
The value obtained for the total energy is -7.944 eV per atom. The polymorph energy (0 for the lowest one) comes out at 0.0 kJ/mol of formula units. The density of states at the Fermi level comes out at 0.18 states/eV per atom. As for the magnetization: 0.0 Bohr magnetons per cell.


[3]
## Dy4CN (GGA-PBE)

Data for crystalline Dy4CN at its relaxed geometry.

Lattice parameters (Å, degrees): 3.541 6.109 7.023 64.62 75.46 90.00
Space group P-1 (No. 2)
Asymmetric unit:
Dy: 0.109 0.443 0.282 [2 per cell]
Dy: 0.389 0.059 0.723 [2 per cell]
C: 0.000 0.000 0.500 [1 per cell]
N: 0.500 0.500 0.500 [1 per cell]

## Properties
The value obtained for the total energy is -6.655 eV per atom. The density of states at the Fermi level comes out at 0.78 states/eV per atom. As for the magnetization: 1.3 Bohr magnetons per cell.


[4]
## Dy6CN4 (GGA-PBE)

Data for crystalline Dy6CN4 at its relaxed geometry.

Lattice parameters (Å, degrees): 10.3139 10.3139 11.9984 90.00 90.00 120.00
Space group R-3c (No. 167, hexagonal axes)
Asymmetric unit:
Dy: 0.0597 0.2020 0.3867 [36 per cell]
C: 0.0000 0.0000 0.0000 [6 per cell]
N: 0.0000 0.0000 0.2500 [6 per cell]
N: 0.0000 0.3494 0.2500 [18 per cell]

## Properties
The value obtained for the total energy is -7.064 eV per atom. The density of states at the Fermi level comes out at 0.50 states/eV per atom. As for the magnetization: 0.0 Bohr magnetons per cell.


[5]
## Dy4CN2 (GGA-PBE)

Data for crystalline Dy4CN2 at its relaxed geometry.

Lattice parameters (Å, degrees): 7.148 7.148 10.121 90.00 90.00 90.00
Space group P4_122 (No. 91)
Asymmetric unit:
Dy: 0.009 0.246 0.259 [8 per cell]
Dy: 0.247 0.482 0.495 [8 per cell]
C: 0.241 0.500 0.250 [4 per cell]
N: 0.000 0.243 0.500 [4 per cell]
N: 0.251 0.251 0.875 [4 per cell]

## Properties
The value obtained for the total energy is -7.268 eV per atom. The density of states at the Fermi level comes out at 0.48 states/eV per atom. As for the magnetization: 0.0 Bohr magnetons per cell.


[6]
## Dy8C3N (GGA-PBE)

Data for crystalline Dy8C3N at its relaxed geometry.

Lattice parameters (Å, degrees): 7.1272 7.1272 18.2802 90.00 90.00 120.00
Space group R-3m (No. 166, hexagonal axes)
Asymmetric unit:
Dy: 0.0000 0.0000 0.2415 [6 per cell]
Dy: 0.0011 0.5006 0.2400 [18 per cell]
C: 0.0000 0.5000 0.5000 [9 per cell]
N: 0.0000 0.0000 0.5000 [3 per cell]

## Properties
The value obtained for the total energy is -6.559 eV per atom. The density of states at the Fermi level comes out at 0.56 states/eV per atom. As for the magnetization: 5.3 Bohr magnetons per cell.


[7]
## Dy8C4N (GGA-PBE)

Data for crystalline Dy8C4N at its relaxed geometry.

Lattice parameters (Å, degrees): 10.290 10.290 10.290 90.00 90.00 90.00
Space group F-43m (No. 216)
Asymmetric unit:
Dy: 0.114 0.114 0.386 [16 per cell]
Dy: 0.131 0.131 0.869 [16 per cell]
C: 0.123 0.123 0.623 [16 per cell]
N: 0.000 0.000 0.000 [4 per cell]

## Properties
The value obtained for the total energy is -6.741 eV per atom. The density of states at the Fermi level comes out at 0.45 states/eV per atom. As for the magnetization: 0.0 Bohr magnetons per cell.


[8]
## Dy3CN2 (GGA-PBE)

Data for crystalline Dy3CN2 at its relaxed geometry.

Lattice parameters (Å, degrees): 3.492 4.961 10.618 90.00 90.00 90.00
Space group Immm (No. 71)
Asymmetric unit:
Dy: 0.000 0.000 0.000 [2 per cell]
Dy: 0.000 0.000 0.327 [4 per cell]
C: 0.000 0.500 0.000 [2 per cell]
N: 0.000 0.500 0.332 [4 per cell]

## Properties
The value obtained for the total energy is -7.714 eV per atom. The density of states at the Fermi level comes out at 0.41 states/eV per atom. As for the magnetization: 0.0 Bohr magnetons per cell.